# 1
VASP calculation (GGA-PBE) on a geometry-optimized LaTiNO2 structure.

a b c (Å): 3.896 3.896 4.012
angles (deg): 90.00 90.00 90.00
Fractional coordinates of all 5 atoms:
Ti1 0.000 0.000 0.000
O1 0.500 0.000 0.000
O2 0.000 0.500 0.000
La1 0.500 0.500 0.500
N1 0.000 0.000 0.500

space-group type = P4/mmm (123)

# 2
VASP calculation (GGA-PBE) on a geometry-optimized LaTiNO2 structure.

a b c (Å): 3.867 5.654 5.727
angles (deg): 90.00 90.00 90.00
Fractional coordinates of all 10 atoms:
N1 0.500 0.000 0.500
O1 0.500 0.000 0.000
La1 0.000 0.750 0.775
Ti1 0.500 0.250 0.727
N2 0.500 0.500 0.500
O2 0.500 0.500 0.000
La2 0.000 0.250 0.225
O3 0.000 0.250 0.783
Ti2 0.500 0.750 0.273
O4 0.000 0.750 0.217

space-group type = Pmma (51)

Let's list energy relative to the elements, uncorrected in order: -1257.1 -1281.6 kJ/mol of formula units.